DFT (GGA-PBE) results for an optimized crystal structure of Tb2BePPt6.

Output
- E_tot: -6.393 eV per atom
- Theoretical density: 13.9 g cm⁻³
- Calculated formation energy: -0.929 eV/atom

CIF file:
```
data_Tb2BePPt6
_chemical_formula_sum 'Tb4 Be2 P2 Pt12'
_cell_length_a 5.5902
_cell_length_b 8.4993
_cell_length_c 7.6764
_cell_angle_alpha 90.00
_cell_angle_beta 90.00
_cell_angle_gamma 90.00
_space_group_name_H-M_alt 'P m m n'
_space_group_IT_number 59
loop_
_space_group_symop_operation_xyz
'x,y,z'
'-x,-y,-z'
'-x+1/2,-y+1/2,z'
'x+1/2,y+1/2,-z'
'x+1/2,-y,-z'
'-x+1/2,y,z'
'-x,y+1/2,-z'
'x,-y+1/2,z'
loop_
_atom_site_label
_atom_site_fract_x
_atom_site_fract_y
_atom_site_fract_z
Tb1 0.2500 0.0088 0.2320
Be1 0.2500 0.7500 0.7550
P1 0.2500 0.2500 0.7625
Pt1 0.0013 0.7500 0.5120
Pt2 0.0092 0.7500 0.0016
Pt3 0.2500 0.0017 0.6345
```